1.
Computed, not measured: an optimized crystal structure of Nd2Ni3Sn4Ru at the PBE level of DFT.

Output
Final energy, eV/atom: -5.699
Symmetry: P-4m2
Calculated formation energy, eV/f.u.: -4.8
Magnetization, μB per formula unit: 0.00

Cell lengths 4.4085, 4.4085, 10.5611 Å; angles 90.00, 90.00, 90.00 degrees
With the nearest neighbours (Å) after each atom.
Atoms (fractional coordinates):
Nd (0.5000, 0.0000, 0.2517)  8 Sn 3.34-3.45, 6 Ni 3.38-3.43, 2 Ru 3.43
Nd (0.0000, 0.5000, 0.7483)  8 Sn 3.34-3.45, 6 Ni 3.38-3.43, 2 Ru 3.43
Ni (0.0000, 0.0000, 0.5000)  4 Sn 2.62
Ni (0.5000, 0.0000, 0.8722)  5 Sn 2.51-2.58
Ni (0.0000, 0.5000, 0.1278)  5 Sn 2.51-2.58
Sn (0.5000, 0.5000, 0.0000)  4 Ni 2.58
Sn (0.0000, 0.0000, 0.0000)  4 Ni 2.58
Sn (0.5000, 0.0000, 0.6345)  3 Ni 2.51-2.62, 2 Ru 2.62
Sn (0.0000, 0.5000, 0.3655)  3 Ni 2.51-2.62, 2 Ru 2.62
Ru (0.5000, 0.5000, 0.5000)  4 Sn 2.62

---

2.
Computed, not measured: an optimized crystal structure of NdThNiRu at the PBE level of DFT.

Output
Relative energy among the computed polymorphs, meV/atom: 144
Final energy, eV/atom: -7.077
Symmetry: F-43m
Calculated formation energy, eV/f.u.: -1.1
Magnetization, μB per formula unit: 0.00

Cell lengths 4.9742, 4.9742, 4.9742 Å; angles 60.00, 60.00, 60.00 degrees
With the nearest neighbours (Å) after each atom.
Atoms (fractional coordinates):
Ru (0.7500, 0.7500, 0.7500)  4 Nd 3.05, 4 Th 3.05
Nd (0.5000, 0.5000, 0.5000)  4 Ni 3.05, 4 Ru 3.05
Th (0.0000, 0.0000, 0.0000)  4 Ru 3.05, 4 Ni 3.05
Ni (0.2500, 0.2500, 0.2500)  4 Th 3.05, 4 Nd 3.05

---

3.
Computed, not measured: an optimized crystal structure of NdThNiRu at the PBE level of DFT.

Output
Relative energy among the computed polymorphs, meV/atom: 0
Final energy, eV/atom: -7.221
Symmetry: Amm2
Calculated formation energy, eV/f.u.: -1.6
Magnetization, μB per formula unit: 0.00

Cell lengths 3.8975, 4.0365, 6.0023 Å; angles 90.00, 108.95, 90.00 degrees
With the nearest neighbours (Å) after each atom.
Atoms (fractional coordinates):
Nd (0.1411, 0.0000, 0.2822)  4 Ni 2.89, 1 Ru 3.08
Th (0.8679, 0.5000, 0.7358)  4 Ru 2.85, 2 Ni 3.09
Ni (0.5787, 0.5000, 0.1573)  2 Ru 2.76, 4 Nd 2.89, 2 Th 3.09
Ru (0.4124, 0.0000, 0.8248)  2 Ni 2.76, 4 Th 2.85, 1 Nd 3.08